## 1
Mg2PtW | GGA-PBE | relaxed Values from VASP.

```
&SYSTEM
  ibrav = 0, nat = 4, ntyp = 3
/
ATOMIC_SPECIES
Mg 24.30 Mg.upf
Pt 195.08 Pt.upf
W 183.84 W.upf
CELL_PARAMETERS angstrom
9.4212 0.0051 0.0030
8.9749 2.8656 0.0030
8.9749 1.4005 2.5000
ATOMIC_POSITIONS crystal
Mg 0.0042 0.0042 0.0042
Mg 0.4958 0.4958 0.4958
Pt 0.7500 0.7500 0.7500
W 0.2500 0.2500 0.2500
```

SG   R-3m (166)
Total moment   0.000 μB/atom
Fermi-level density of states   1.413 states/eV per atom

---

## 2
Mg2PtW | GGA-PBE | relaxed Values from VASP.

```
&SYSTEM
  ibrav = 0, nat = 4, ntyp = 3
/
ATOMIC_SPECIES
Mg 24.30 Mg.upf
Pt 195.08 Pt.upf
W 183.84 W.upf
CELL_PARAMETERS angstrom
1.7184 -3.1350 -2.8168
-2.5408 -3.5567 -1.2687
-1.5255 -0.2964 -4.2779
ATOMIC_POSITIONS crystal
Mg 0.2500 0.2500 0.2500
Mg 0.7500 0.7500 0.7500
Pt 0.5000 0.5000 0.5000
W 0.0000 0.0000 0.0000
```

SG   Fm-3m (225)
Total moment   0.605 μB/atom
Fermi-level density of states   0.417 states/eV per atom

---

## 3
Mg2PtW | GGA-PBE | relaxed Values from VASP.

```
&SYSTEM
  ibrav = 0, nat = 4, ntyp = 3
/
ATOMIC_SPECIES
W 183.84 W.upf
Pt 195.08 Pt.upf
Mg 24.30 Mg.upf
CELL_PARAMETERS angstrom
4.5674 0.0000 0.0000
0.0000 2.7871 0.0129
0.0000 0.8364 5.2260
ATOMIC_POSITIONS crystal
W 0.5000 0.7500 0.7500
Pt 0.5000 0.2500 0.2500
Mg 0.0000 0.4492 0.4984
Mg 0.0000 0.0508 0.0016
```

SG   P2/m (10)
Total moment   0.000 μB/atom
Fermi-level density of states   0.740 states/eV per atom

---

## 4
Mg2PtW | GGA-PBE | relaxed Values from VASP.

```
&SYSTEM
  ibrav = 0, nat = 4, ntyp = 3
/
ATOMIC_SPECIES
W 183.84 W.upf
Mg 24.30 Mg.upf
Pt 195.08 Pt.upf
CELL_PARAMETERS angstrom
4.9323 -0.0186 0.0000
1.5802 4.6724 0.0000
-3.2563 -2.3269 2.8828
ATOMIC_POSITIONS crystal
W 0.7500 0.2500 0.5000
Mg 0.0000 0.0000 0.0000
Mg 0.2500 0.7500 0.5000
Pt 0.5000 0.5000 0.0000
```

SG   I-4m2 (119)
Total moment   0.001 μB/atom
Fermi-level density of states   0.994 states/eV per atom

---

Verdict on stability: 1 comes out on top.